(1)
Computed, not measured: crystalline Cs2Np2CoS6 at its relaxed geometry at the PBE level of DFT.

```
Cs2Np2CoS6
1.0
6.649 0.007 0.062
-3.280 5.784 0.062
-1.193 -2.051 8.194
Cs Np Co S
2 2 1 6
Direct
0.833 0.167 0.000
0.167 0.833 0.000
0.333 0.667 0.500
0.667 0.333 0.500
0.000 0.000 0.500
0.740 0.740 0.669
0.058 0.377 0.671
0.260 0.260 0.331
0.377 0.058 0.671
0.942 0.623 0.329
0.623 0.942 0.329
```

## Properties
ΔE_f (raw) in eV per atom: -1.052



(2)
Computed, not measured: crystalline La2PrNd6In at its relaxed geometry at the PBE level of DFT.

```
La2PrNd6In
1.0
-3.351 -7.703 -4.408
-0.240 -4.402 7.622
-8.018 1.428 3.348
La Pr Nd In
4 2 12 2
Direct
0.306 0.657 0.816
0.194 0.184 0.343
0.694 0.343 0.184
0.806 0.816 0.657
0.250 0.882 0.118
0.750 0.118 0.882
0.105 0.008 0.767
0.395 0.233 0.992
0.895 0.992 0.233
0.605 0.767 0.008
0.503 0.894 0.372
0.997 0.628 0.106
0.497 0.106 0.628
0.003 0.372 0.894
0.108 0.713 0.478
0.392 0.522 0.287
0.892 0.287 0.522
0.608 0.478 0.713
0.250 0.365 0.635
0.750 0.635 0.365
```

## Properties
Formation energy from the elements in eV per formula unit: 0.15



(3)
Computed, not measured: crystalline KRbBe2I6 at its relaxed geometry at the PBE level of DFT.

```
KRbBe2I6
1.0
8.885 -0.660 -0.247
-1.742 8.737 -0.247
-2.495 -2.822 13.925
K Rb Be I
2 2 4 12
Direct
0.612 0.388 0.250
0.388 0.612 0.750
0.195 0.805 0.250
0.805 0.195 0.750
0.322 0.139 0.697
0.861 0.678 0.803
0.678 0.861 0.303
0.139 0.322 0.197
0.920 0.382 0.119
0.618 0.080 0.381
0.080 0.618 0.881
0.382 0.920 0.619
0.224 0.127 0.112
0.873 0.776 0.388
0.776 0.873 0.888
0.127 0.224 0.612
0.282 0.462 0.354
0.538 0.718 0.146
0.718 0.538 0.646
0.462 0.282 0.854
```

## Properties
ΔE_f (raw) in eV per atom: -0.902



(4)
Computed, not measured: crystalline Ti2InI at its relaxed geometry at the PBE level of DFT.

```
Ti2InI
1.0
1.626 2.466 3.898
-2.334 -0.379 4.281
2.084 -2.400 3.717
I Ti In
1 2 1
Direct
0.500 0.500 0.500
0.250 0.250 0.250
0.750 0.750 0.750
0.000 0.000 0.000
```

## Properties
Offset from the most stable computed form in eV per atom: 0.0000
ΔE_f (raw) in eV per atom: 0.289



The records above yield density values of 5.192, 6.566, 2.854, 6.774 g cm⁻³, respectively.
The records above yield M_tot values of 7.811, 0.000, 0.000, 1.665 μB per cell, respectively.